The following is a DFT calculation (GGA-PBE) of ScAlSb after structural relaxation.

Calculated values
Formation energy (no corrections) ... -0.221 eV per atom
Density ... 4.41 g/cm³

The structure in POSCAR format:
```
ScAlSb
1.0
0.0000 6.7077 8.5282
2.5524 0.0000 8.5282
2.5524 6.7077 0.0000
Sc Al Sb
4 4 4
Direct
0.0338 0.7671 0.2329
0.2329 0.9662 0.0338
0.7671 0.0338 0.9662
0.9662 0.2329 0.7671
0.3110 0.6890 0.3110
0.4222 0.4222 0.5778
0.5778 0.5778 0.4222
0.6890 0.3110 0.6890
0.1624 0.4810 0.5190
0.4810 0.1624 0.8376
0.5190 0.8376 0.1624
0.8376 0.5190 0.4810
```